## K2NaRuO4 (PBE)

Data for crystalline K2NaRuO4 at its relaxed geometry.

Cell lengths 6.1199, 6.1199, 7.7061 Å; angles 90.00, 90.00, 90.00 degrees
With the nearest neighbours (Å) after each atom.
Space group I-4 (No. 82)
Inequivalent atoms, fractional coordinates:
K  0.0000  0.0000  0.0000 [2 per cell]  4 O 2.80
K  0.0000  0.5000  0.2500 [2 per cell]  4 O 2.68
Na  0.0000  0.5000  0.7500 [2 per cell]  4 O 2.30
Ru  0.0000  0.0000  0.5000 [2 per cell]  4 O 1.85
O  0.1657  0.7837  0.6040 [8 per cell]  1 Ru 1.85

formation energy (no corrections)	-1286	meV/atom
VASP energy	-5.364	eV/atom